V3AgHg (PBE, optimized geometry); relative energy among the computed polymorphs = 0.000 eV per formula unit; total DFT energy (no corrections) = -22.68 eV/cell; ΔH_f (0 K) = 151.2 kJ/mol of atoms; symmetry = Pm-3m (221)
1.0
4.9410 0.0000 0.0000
0.0000 4.9410 0.0000
0.0000 0.0000 4.9410
V Ag Hg
3 1 1
Direct
0.0000 0.0000 0.5000 V
0.0000 0.5000 0.0000 V
0.5000 0.0000 0.0000 V
0.0000 0.0000 0.0000 Ag
0.5000 0.5000 0.5000 Hg

---

VAg3Hg (PBE, optimized geometry); relative energy among the computed polymorphs = 0.089 eV per formula unit; total DFT energy (no corrections) = -12.42 eV/cell; ΔH_f (0 K) = 107.1 kJ/mol of atoms; symmetry = Pm-3m (221)
1.0
5.1564 0.0000 0.0000
0.0000 5.1564 0.0000
0.0000 0.0000 5.1564
V Ag Hg
1 3 1
Direct
0.0000 0.0000 0.0000 V
0.0000 0.5000 0.5000 Ag
0.5000 0.0000 0.5000 Ag
0.5000 0.5000 0.0000 Ag
0.5000 0.5000 0.5000 Hg

---

V2AgHg (PBE, optimized geometry); total DFT energy (no corrections) = -71.42 eV/cell; ΔH_f (0 K) = 85.3 kJ/mol of atoms; symmetry = I-42d (122)
1.0
7.4253 0.0000 0.0000
0.0000 7.4253 0.0000
0.0000 0.0000 5.2061
V Ag Hg
8 4 4
Direct
0.2467 0.2500 0.1250 V
0.2500 0.7467 0.3750 V
0.2500 0.7533 0.8750 V
0.2533 0.2500 0.6250 V
0.7467 0.7500 0.6250 V
0.7500 0.2467 0.8750 V
0.7500 0.2533 0.3750 V
0.7533 0.7500 0.1250 V
0.0000 0.0000 0.0000 Ag
0.0000 0.5000 0.2500 Ag
0.5000 0.0000 0.7500 Ag
0.5000 0.5000 0.5000 Ag
0.0000 0.0000 0.5000 Hg
0.0000 0.5000 0.7500 Hg
0.5000 0.0000 0.2500 Hg
0.5000 0.5000 0.0000 Hg

---

V3AgHg (PBE, optimized geometry); relative energy among the computed polymorphs = 0.684 eV per formula unit; total DFT energy (no corrections) = -21.99 eV/cell; ΔH_f (0 K) = 164.4 kJ/mol of atoms; symmetry = Pm-3m (221)
1.0
5.0428 0.0000 0.0000
0.0000 5.0428 0.0000
0.0000 0.0000 5.0428
V Ag Hg
3 1 1
Direct
0.0000 0.0000 0.5000 V
0.0000 0.5000 0.0000 V
0.5000 0.0000 0.0000 V
0.5000 0.5000 0.5000 Ag
0.0000 0.0000 0.0000 Hg